No. 1
AlCuAu2 PBE optimized geometry; symmetry = Pnma (62)
1.0
-4.228 3.910 -0.615
-5.276 -5.337 2.345
0.733 1.639 5.379
Au Al Cu
8 4 4
Direct
0.033 0.947 0.748
0.467 0.553 0.248
0.967 0.053 0.252
0.033 0.553 0.748
0.533 0.053 0.752
0.967 0.447 0.252
0.467 0.947 0.248
0.533 0.447 0.752
0.624 0.250 0.382
0.124 0.750 0.118
0.376 0.750 0.618
0.876 0.250 0.882
0.803 0.750 0.438
0.197 0.250 0.562
0.303 0.250 0.062
0.697 0.750 0.938

=====

No. 2
Al2CuAu PBE optimized geometry; symmetry = F-43m (216)
1.0
0.000 3.146 3.146
3.146 0.000 3.146
3.146 3.146 0.000
Au Cu Al
1 1 2
Direct
0.500 0.500 0.500
0.750 0.750 0.750
0.000 0.000 0.000
0.250 0.250 0.250

=====

No. 3
AlCuAu2 PBE optimized geometry; symmetry = P6_3/mmc (194)
1.0
-3.968 1.498 0.536
0.624 -3.746 -1.965
-0.493 -3.924 7.322
Al Au Cu
2 4 2
Direct
0.000 0.000 0.750
0.000 0.000 0.250
0.667 0.333 0.584
0.333 0.667 0.416
0.667 0.333 0.916
0.333 0.667 0.084
0.333 0.667 0.750
0.667 0.333 0.250

=====

No. 4
AlCuAu2 PBE optimized geometry; symmetry = P6_3/mmc (194)
1.0
2.169 -3.756 0.000
2.169 3.756 0.000
0.000 0.000 8.403
Au Cu Al
4 2 2
Direct
0.333 0.667 0.912
0.333 0.667 0.588
0.667 0.333 0.412
0.667 0.333 0.088
0.667 0.333 0.750
0.333 0.667 0.250
0.000 0.000 0.000
0.000 0.000 0.500

=====

No. 5
AlCuAu2 PBE optimized geometry; symmetry = F-43m (216)
1.0
0.000 3.171 3.171
3.171 0.000 3.171
3.171 3.171 0.000
Cu Al Au
1 1 2
Direct
0.250 0.250 0.250
0.500 0.500 0.500
0.750 0.750 0.750
0.000 0.000 0.000

=====

No. 6
AlCuAu2 PBE optimized geometry; symmetry = P6_3/mmc (194)
1.0
2.174 -3.766 0.000
2.174 3.766 0.000
0.000 0.000 8.304
Au Al Cu
4 2 2
Direct
0.667 0.333 0.412
0.667 0.333 0.088
0.333 0.667 0.912
0.333 0.667 0.588
0.667 0.333 0.750
0.333 0.667 0.250
0.000 0.000 0.500
0.000 0.000 0.000

=====

How do the records compare in E_tot? In the order shown, they have -14.85; -14.62; -14.57; -14.55; -14.57; -14.53 eV per formula unit.